DFT (PBE) results for BePWS2 after structural relaxation.

Calculated values
Energy relative to the lowest polymorph listed for this composition: 0.00 eV/f.u.
Space group: P4/mmm (123)
Uncorrected formation energy: 0.71 eV/atom
Electronic total energy: -5.364 eV/atom

abc: 4.596 4.596 4.924
angles: 90.00 90.00 90.00
Sites, in units of the cell vectors:
P1 0.000 0.000 0.500
S1 0.000 0.500 0.000
S2 0.500 0.000 0.000
W1 0.000 0.000 0.000
Be1 0.500 0.500 0.500

***

DFT (PBE) results for Na2Ca2Mg after structural relaxation.

Calculated values
Energy relative to the lowest polymorph listed for this composition: 0.00 eV/f.u.
Space group: I4/mmm (139)
Calculated formation energy: 130 meV per atom
Electronic total energy: -1.517 eV/atom

abc: 4.220 4.220 10.569
angles: 78.48 78.48 90.00
Sites, in units of the cell vectors:
Na1 0.750 0.250 0.500
Na2 0.250 0.750 0.500
Ca1 0.408 0.408 0.183
Ca2 0.592 0.592 0.817
Mg1 0.000 0.000 0.000

***

DFT (PBE) results for SrZr2In after structural relaxation.

Calculated values
Space group: F-43m (216)
Calculated formation energy: 245 meV per atom
Electronic total energy: -5.134 eV/atom

abc: 5.338 5.338 5.338
angles: 60.00 60.00 60.00
Last column: magnetic moment on the atom in μB.
Sites, in units of the cell vectors:
In1 0.500 0.500 0.500  -0.02
Sr1 0.250 0.250 0.250  0.06
Zr1 0.000 0.000 0.000  0.99
Zr2 0.750 0.750 0.750  0.59

***

DFT (PBE) results for Ga2HgBW after structural relaxation.

Calculated values
Space group: P4/mmm (123)
Calculated formation energy: 2344 meV per atom
Electronic total energy: -2.853 eV/atom

abc: 4.940 5.411 4.940
angles: 90.00 90.00 90.00
Last column: magnetic moment on the atom in μB.
Sites, in units of the cell vectors:
Ga1 0.000 0.000 0.500  0.01
Ga2 0.500 0.000 0.000  0.01
B1 0.500 0.500 0.500  -0.11
Hg1 0.000 0.000 0.000  0.06
W1 0.000 0.500 0.000  2.65

***

DFT (PBE) results for KScAl2 after structural relaxation.

Calculated values
Energy relative to the lowest polymorph listed for this composition: 0.63 eV/f.u.
Space group: P4mm (99)
Calculated formation energy: 135 meV per atom
Electronic total energy: -3.594 eV/atom

abc: 3.274 3.274 9.628
angles: 90.00 90.00 90.00
Sites, in units of the cell vectors:
Sc1 0.500 0.500 0.833
K1 0.000 0.000 0.469
Al1 0.000 0.000 0.017
Al2 0.500 0.500 0.182

***

DFT (PBE) results for Tb4HoGa4 after structural relaxation.

Calculated values
Space group: I4/m (87)
Calculated formation energy: -398 meV per atom
Electronic total energy: -4.310 eV/atom

abc: 4.727 10.042 10.042
angles: 90.00 90.00 90.00
Sites, in units of the cell vectors:
Tb1 0.500 0.370 0.856
Tb2 0.000 0.644 0.870
Tb3 0.500 0.630 0.144
Tb4 0.000 0.130 0.644
Tb5 0.500 0.856 0.630
Tb6 0.000 0.870 0.356
Tb7 0.000 0.356 0.130
Tb8 0.500 0.144 0.370
Ho1 0.000 0.000 0.000
Ho2 0.500 0.500 0.500
Ga1 0.500 0.928 0.172
Ga2 0.500 0.072 0.828
Ga3 0.000 0.672 0.572
Ga4 0.000 0.428 0.672
Ga5 0.000 0.572 0.328
Ga6 0.500 0.172 0.072
Ga7 0.500 0.828 0.928
Ga8 0.000 0.328 0.428

***

DFT (PBE) results for TeP3O after structural relaxation.

Calculated values
Energy relative to the lowest polymorph listed for this composition: 0.00 eV/f.u.
Space group: Pm-3m (221)
Uncorrected formation energy: 0.66 eV/atom
Electronic total energy: -4.205 eV/atom

abc: 4.327 4.327 4.327
angles: 90.00 90.00 90.00
Sites, in units of the cell vectors:
P1 0.000 0.500 0.000
P2 0.000 0.000 0.500
P3 0.500 0.000 0.000
Te1 0.500 0.500 0.500
O1 0.000 0.000 0.000

***

DFT (PBE) results for NaPrDyHg after structural relaxation.

Calculated values
Space group: F-43m (216)
Calculated formation energy: -60 meV per atom
Electronic total energy: -2.811 eV/atom

abc: 5.448 5.448 5.448
angles: 60.00 60.00 60.00
Last column: magnetic moment on the atom in μB.
Sites, in units of the cell vectors:
Pr1 0.250 0.250 0.250  0.19
Na1 0.000 0.000 0.000  0.01
Hg1 0.500 0.500 0.500  0.02
Dy1 0.750 0.750 0.750  0.26